(1)
# TbTh2Ge3Ir4

A relaxed structure of TbTh2Ge3Ir4 (PBE-GGA, Alexandria via LeMat-Bulk).

## Properties
- M_tot: 0.000 μB/f.u.
- ΔE_f: -812 meV per atom
- Total energy: -0.2826 Ha/atom
- Volume: 20.02 Å³/atom

Structure (CIF):
```
data_TbTh2Ge3Ir4
_chemical_formula_sum 'Tb1 Th2 Ge3 Ir4'
_space_group_name_H-M_alt 'P -4 m 2'
_space_group_IT_number 115
_space_group_name_Hall 'P -4 -2'
_cell_length_a 4.1666
_cell_length_b 4.1666
_cell_length_c 11.5304
_cell_angle_alpha 90.00
_cell_angle_beta 90.00
_cell_angle_gamma 90.00
loop_
_atom_site_label
_atom_site_type_symbol
_atom_site_fract_x
_atom_site_fract_y
_atom_site_fract_z
Tb1 Tb 0.0000 0.0000 0.0000
Th1 Th 0.0000 0.5000 0.7294
Ge1 Ge 0.0000 0.5000 0.3797
Ge2 Ge 0.5000 0.5000 0.0000
Ir1 Ir 0.0000 0.0000 0.5000
Ir2 Ir 0.0000 0.5000 0.1670
Ir3 Ir 0.5000 0.5000 0.5000
```



(2)
# TbThGeIr

A relaxed structure of TbThGeIr (PBE-GGA, Alexandria via LeMat-Bulk).

## Properties
- M_tot: 0.000 μB/f.u.
- ΔE_f: -411 meV per atom
- Total energy: -0.2497 Ha/atom
- Volume: 24.01 Å³/atom

Structure (CIF):
```
data_TbThGeIr
_chemical_formula_sum 'Tb2 Th2 Ge2 Ir2'
_space_group_name_H-M_alt 'P 4/n m m'
_space_group_IT_number 129
_cell_length_a 4.1285
_cell_length_b 4.1285
_cell_length_c 11.2677
_cell_angle_alpha 90.00
_cell_angle_beta 90.00
_cell_angle_gamma 90.00
loop_
_space_group_symop_operation_xyz
'x,y,z'
'-x,-y,-z'
'-y+1/2,x,z'
'y+1/2,-x,-z'
'-x+1/2,-y+1/2,z'
'x+1/2,y+1/2,-z'
'y,-x+1/2,z'
'-y,x+1/2,-z'
'x+1/2,-y,-z'
'-x+1/2,y,z'
'-y,-x,-z'
'y,x,z'
'-x,y+1/2,-z'
'x,-y+1/2,z'
'y+1/2,x+1/2,-z'
'-y+1/2,-x+1/2,z'
loop_
_atom_site_label
_atom_site_type_symbol
_atom_site_fract_x
_atom_site_fract_y
_atom_site_fract_z
Tb1 Tb 0.2500 0.7500 0.0000
Th1 Th 0.2500 0.2500 0.3290
Ge1 Ge 0.2500 0.2500 0.8107
Ir1 Ir 0.2500 0.2500 0.5908
```



(3)
# Tb2Th2GeIr4

A relaxed structure of Tb2Th2GeIr4 (PBE-GGA, Alexandria via LeMat-Bulk).

## Properties
- M_tot: 0.000 μB/f.u.
- ΔE_f: -330 meV per atom
- Total energy: -0.2741 Ha/atom
- Volume: 22.39 Å³/atom

Structure (CIF):
```
data_Tb2Th2GeIr4
_chemical_formula_sum 'Tb4 Th4 Ge2 Ir8'
_space_group_name_H-M_alt 'I 4/m m m'
_space_group_IT_number 139
_space_group_name_Hall '-I 4 2'
_cell_length_a 6.5300
_cell_length_b 6.5300
_cell_length_c 9.4524
_cell_angle_alpha 90.00
_cell_angle_beta 90.00
_cell_angle_gamma 90.00
loop_
_atom_site_label
_atom_site_type_symbol
_atom_site_fract_x
_atom_site_fract_y
_atom_site_fract_z
Tb1 Tb 0.0000 0.5000 0.2500
Th1 Th 0.0000 0.0000 0.1900
Ge1 Ge 0.0000 0.0000 0.5000
Ir1 Ir 0.2355 0.2355 0.0000
```



(4)
# Tb2TiGe3Ir4

A relaxed structure of Tb2TiGe3Ir4 (PBE-GGA, Alexandria via LeMat-Bulk).

## Properties
- M_tot: 0.000 μB/f.u.
- ΔE_f: -824 meV per atom
- Total energy: -0.2745 Ha/atom
- Volume: 18.25 Å³/atom

Structure (CIF):
```
data_Tb2TiGe3Ir4
_chemical_formula_sum 'Tb2 Ti1 Ge3 Ir4'
_space_group_name_H-M_alt 'P -4 m 2'
_space_group_IT_number 115
_space_group_name_Hall 'P -4 -2'
_cell_length_a 4.1139
_cell_length_b 4.1139
_cell_length_c 10.7851
_cell_angle_alpha 90.00
_cell_angle_beta 90.00
_cell_angle_gamma 90.00
loop_
_atom_site_label
_atom_site_type_symbol
_atom_site_fract_x
_atom_site_fract_y
_atom_site_fract_z
Tb1 Tb 0.0000 0.5000 0.2390
Ti1 Ti 0.0000 0.0000 0.5000
Ge1 Ge 0.0000 0.5000 0.8700
Ge2 Ge 0.5000 0.5000 0.5000
Ir1 Ir 0.0000 0.0000 0.0000
Ir2 Ir 0.0000 0.5000 0.6421
Ir3 Ir 0.5000 0.5000 0.0000
```



(5)
# Tb2VGe3Ir4

A relaxed structure of Tb2VGe3Ir4 (PBE-GGA, Alexandria via LeMat-Bulk).

## Properties
- M_tot: 0.841 μB/f.u.
- ΔE_f: -738 meV per atom
- Total energy: -0.2758 Ha/atom
- Volume: 17.99 Å³/atom

Structure (CIF):
```
data_Tb2VGe3Ir4
_chemical_formula_sum 'Tb2 V1 Ge3 Ir4'
_space_group_name_H-M_alt 'P -4 m 2'
_space_group_IT_number 115
_space_group_name_Hall 'P -4 -2'
_cell_length_a 4.1394
_cell_length_b 4.1394
_cell_length_c 10.4972
_cell_angle_alpha 90.00
_cell_angle_beta 90.00
_cell_angle_gamma 90.00
loop_
_atom_site_label
_atom_site_type_symbol
_atom_site_fract_x
_atom_site_fract_y
_atom_site_fract_z
Tb1 Tb 0.0000 0.5000 0.2468
V1 V 0.0000 0.0000 0.5000
Ge1 Ge 0.0000 0.5000 0.8679
Ge2 Ge 0.5000 0.5000 0.5000
Ir1 Ir 0.0000 0.0000 0.0000
Ir2 Ir 0.0000 0.5000 0.6349
Ir3 Ir 0.5000 0.5000 0.0000
```



(6)
# Tb2ZnGe4Ir3

A relaxed structure of Tb2ZnGe4Ir3 (PBE-GGA, Alexandria via LeMat-Bulk).

## Properties
- M_tot: 0.000 μB/f.u.
- ΔE_f: -652 meV per atom
- Total energy: -0.2282 Ha/atom
- Volume: 18.39 Å³/atom

Structure (CIF):
```
data_Tb2ZnGe4Ir3
_chemical_formula_sum 'Tb2 Zn1 Ge4 Ir3'
_space_group_name_H-M_alt 'P -4 m 2'
_space_group_IT_number 115
_space_group_name_Hall 'P -4 -2'
_cell_length_a 4.2183
_cell_length_b 4.2183
_cell_length_c 10.3373
_cell_angle_alpha 90.00
_cell_angle_beta 90.00
_cell_angle_gamma 90.00
loop_
_atom_site_label
_atom_site_type_symbol
_atom_site_fract_x
_atom_site_fract_y
_atom_site_fract_z
Tb1 Tb 0.0000 0.5000 0.2415
Zn1 Zn 0.0000 0.0000 0.5000
Ge1 Ge 0.0000 0.0000 0.0000
Ge2 Ge 0.0000 0.5000 0.6391
Ge3 Ge 0.5000 0.5000 0.0000
Ir1 Ir 0.0000 0.5000 0.8734
Ir2 Ir 0.5000 0.5000 0.5000
```



(7)
# TbZnGe2Ir

A relaxed structure of TbZnGe2Ir (PBE-GGA, Alexandria via LeMat-Bulk).

## Properties
- M_tot: 0.000 μB/f.u.
- ΔE_f: -554 meV per atom
- Total energy: -0.1967 Ha/atom
- Volume: 18.01 Å³/atom

Structure (CIF):
```
data_TbZnGe2Ir
_chemical_formula_sum 'Tb2 Zn2 Ge4 Ir2'
_space_group_name_H-M_alt 'I -4 m 2'
_space_group_IT_number 119
_space_group_name_Hall 'I -4 -2'
_cell_length_a 4.0639
_cell_length_b 4.0639
_cell_length_c 10.9078
_cell_angle_alpha 90.00
_cell_angle_beta 90.00
_cell_angle_gamma 90.00
loop_
_atom_site_label
_atom_site_type_symbol
_atom_site_fract_x
_atom_site_fract_y
_atom_site_fract_z
Tb1 Tb 0.0000 0.0000 0.0000
Zn1 Zn 0.0000 0.5000 0.7500
Ge1 Ge 0.0000 0.0000 0.3865
Ir1 Ir 0.0000 0.5000 0.2500
```



(8)
# Tc2Ge4Ir

A relaxed structure of Tc2Ge4Ir (PBE-GGA, Alexandria via LeMat-Bulk).

## Properties
- M_tot: 0.000 μB/f.u.
- ΔE_f: -116 meV per atom
- Total energy: -0.2566 Ha/atom
- Volume: 17.01 Å³/atom

Structure (CIF):
```
data_Tc2Ge4Ir
_chemical_formula_sum 'Tc4 Ge8 Ir2'
_space_group_name_H-M_alt 'C 1 2/m 1'
_space_group_IT_number 12
_space_group_name_Hall '-C 2y'
_cell_length_a 13.6540
_cell_length_b 3.3484
_cell_length_c 5.6559
_cell_angle_alpha 90.00
_cell_angle_beta 112.96
_cell_angle_gamma 90.00
loop_
_atom_site_label
_atom_site_type_symbol
_atom_site_fract_x
_atom_site_fract_y
_atom_site_fract_z
Tc1 Tc 0.2476 0.0000 0.2527
Ge1 Ge 0.1122 0.5000 0.3111
Ge2 Ge 0.1214 0.0000 0.7750
Ir1 Ir 0.0000 0.0000 0.0000
```